# VP2H6O6, optimized geometry, DFT PBE+U
# ρ = 2.14 g cm⁻³
# raw total energy = -345.15 eV/cell
# DOS at the Fermi energy = 0.0000 states/eV per atom
data_VP2H6O6
_cell_length_a 12.548
_cell_length_b 8.365
_cell_length_c 7.685
_cell_angle_alpha 90.00
_cell_angle_beta 124.36
_cell_angle_gamma 90.00
_space_group_name_H-M_alt 'C 1 2/c 1'
_space_group_IT_number 15
loop_
_space_group_symop_operation_xyz
'x,y,z'
'-x,-y,-z'
'-x,y,-z+1/2'
'x,-y,z+1/2'
'x+1/2,y+1/2,z'
'-x+1/2,-y+1/2,-z'
'-x+1/2,y+1/2,-z+1/2'
'x+1/2,-y+1/2,z+1/2'
loop_
_atom_site_label
_atom_site_type_symbol
_atom_site_fract_x
_atom_site_fract_y
_atom_site_fract_z
V1 V 0.000 0.234 0.250
P1 P 0.236 0.334 0.712
H1 H 0.031 0.102 0.875
H2 H 0.195 0.358 0.847
H3 H 0.211 0.479 0.603
O1 O 0.000 0.035 0.750
O2 O 0.000 0.430 0.250
O3 O 0.118 0.199 0.143
O4 O 0.155 0.201 0.554